A plane-wave DFT calculation with GGA+U was carried out for an optimized crystal structure of CaWO2.

Properties
Total moment   2.0 μB/f.u.
E_tot   -98.8 eV/cell
N(E_F)   0.053 states/eV per atom

Cell lengths 4.5539, 4.5539, 12.4609 Å; angles 90.00, 90.00, 90.00 degrees
Closest atoms and distances in Å follow each position.
Space group I-42d (No. 122)
One atom of each set of equivalent atoms:
Ca 0.0000 0.0000 0.0000 x4  4 O 2.45
W 0.0000 0.0000 0.5000 x4  4 O 2.08
O 0.1701 0.2500 0.6250 x8  2 W 2.08